DFT (PBE) results for BiPb6Au2 after structural relaxation.

Cell and atoms, written as extended XYZ:
```
9
Lattice="-0.390 -0.295 -5.037 6.269 0.764 -3.073 0.853 -7.806 -2.152" Properties=species:S:1:pos:R:3 pbc="T T T"
Bi 3.561 -3.521 -2.612
Pb 5.408 -6.267 -7.679
Pb 1.323 -1.069 -2.582
Pb 5.036 -0.542 -2.901
Pb 5.497 -3.371 -5.313
Pb 1.695 -6.794 -7.361
Pb 1.234 -3.965 -4.948
Au 3.690 -6.020 -5.018
Au 3.041 -1.316 -5.243
```

N(E_F) in states/eV per atom: 0.4792
Offset from the most stable computed form in meV per atom: 23
Magnetization in μB/f.u.: 0.000